# 1
Crystalline Zr2FeRh at its relaxed geometry, computed with PBE-GGA.

Output
calculated formation energy	-191	kJ/mol of formula units

Cell lengths 3.2224, 3.2706, 6.4892 Å; angles 90.00, 90.00, 90.00 degrees
Fractional coordinates of all 4 atoms:
Zr (0.0000, 0.0000, 0.2401)
Zr (0.0000, 0.0000, 0.7599)
Fe (0.5000, 0.5000, 0.0000)
Rh (0.5000, 0.5000, 0.5000)

=====

# 2
Crystalline Mg2SnPt6 at its relaxed geometry, computed with PBE-GGA.

Output
calculated formation energy	-371	kJ/mol of formula units

Cell lengths 6.2489, 6.2489, 4.6460 Å; angles 111.70, 111.70, 74.81 degrees
Fractional coordinates of all 9 atoms:
Mg (0.1630, 0.1630, 0.1630)
Mg (0.8370, 0.8370, 0.8370)
Sn (0.5000, 0.5000, 0.5000)
Pt (0.0353, 0.6284, 0.3320)
Pt (0.2947, 0.7053, 0.0000)
Pt (0.3716, 0.9647, 0.6680)
Pt (0.6284, 0.0353, 0.3320)
Pt (0.7053, 0.2947, 0.0000)
Pt (0.9647, 0.3716, 0.6680)

=====

# 3
Crystalline Ce2PaC at its relaxed geometry, computed with PBE-GGA.

Output
calculated formation energy	60	kJ/mol of formula units
distance to the lowest polymorph of the same formula	0.0696	eV per atom

Cell lengths 3.1704, 3.1704, 8.1021 Å; angles 90.00, 90.00, 90.00 degrees
Fractional coordinates of all 4 atoms:
Ce (0.0000, 0.0000, 0.1746)
Ce (0.0000, 0.0000, 0.8254)
Pa (0.5000, 0.5000, 0.5000)
C (0.5000, 0.5000, 0.0000)

=====

# 4
Crystalline CaTiNi2H at its relaxed geometry, computed with PBE-GGA.

Cell lengths 4.6773, 4.6773, 3.6452 Å; angles 90.00, 90.00, 90.00 degrees
Fractional coordinates of all 5 atoms:
Ca (0.0000, 0.0000, 0.0000)
Ti (0.5000, 0.5000, 0.5000)
Ni (0.0000, 0.5000, 0.5000)
Ni (0.5000, 0.0000, 0.5000)
H (0.5000, 0.5000, 0.0000)

=====

# 5
Crystalline Mg2TcAu at its relaxed geometry, computed with PBE-GGA.

Output
calculated formation energy	61	kJ/mol of formula units
distance to the lowest polymorph of the same formula	0.2211	eV per atom

Cell lengths 6.5387, 6.5387, 6.5387 Å; angles 90.00, 90.00, 90.00 degrees
Fractional coordinates of all 16 atoms:
Mg (0.0000, 0.0000, 0.0000)
Mg (0.0000, 0.5000, 0.5000)
Mg (0.2500, 0.2500, 0.2500)
Mg (0.2500, 0.7500, 0.7500)
Mg (0.5000, 0.0000, 0.5000)
Mg (0.5000, 0.5000, 0.0000)
Mg (0.7500, 0.2500, 0.7500)
Mg (0.7500, 0.7500, 0.2500)
Tc (0.0000, 0.0000, 0.5000)
Tc (0.0000, 0.5000, 0.0000)
Tc (0.5000, 0.0000, 0.0000)
Tc (0.5000, 0.5000, 0.5000)
Au (0.2500, 0.2500, 0.7500)
Au (0.2500, 0.7500, 0.2500)
Au (0.7500, 0.2500, 0.2500)
Au (0.7500, 0.7500, 0.7500)

=====

# 6
Crystalline Re3Pb at its relaxed geometry, computed with PBE-GGA.

Output
calculated formation energy	387	kJ/mol of formula units
distance to the lowest polymorph of the same formula	0.3729	eV per atom

Cell lengths 5.4245, 8.3385, 2.9928 Å; angles 90.00, 90.00, 90.00 degrees
Fractional coordinates of all 8 atoms:
Re (0.0000, 0.0000, 0.0000)
Re (0.2500, 0.2500, 0.5000)
Re (0.2500, 0.7500, 0.5000)
Re (0.5000, 0.5000, 0.0000)
Re (0.7500, 0.2500, 0.5000)
Re (0.7500, 0.7500, 0.5000)
Pb (0.0000, 0.5000, 0.0000)
Pb (0.5000, 0.0000, 0.0000)

=====

Spin magnetization, record by record: 0.751, 0.000, 0.000, 0.000, 6.255, 0.000 μB/cell
DFT total energy, record by record: -34.887, -47.284, -29.962, -23.915, -64.812, -74.085 eV/cell
N(E_F), record by record: 2.3, 4.5, 5.8, 2.7, 22.0, 8.9 states/eV/cell